Compound: CoRuSe2
Source: Alexandria
Functional: GGA-PBE
Structure: relaxed

The structure in POSCAR format:
```
CoRuSe2
1.0
4.1250 0.0000 0.0000
0.0000 3.8142 0.0000
-0.4499 0.0000 4.3189
Co Ru Se
1 1 2
Direct
0.0000 0.0000 0.0000
0.5000 0.0000 0.5000
0.2747 0.5000 0.7743
0.7253 0.5000 0.2257
```

Properties
For the energy relative to the elements, uncorrected, the calculation gives 175 kJ/mol of formula units. The offset from the most stable computed form is 717 meV per atom. The crystal system is monoclinic. The total magnetization is 1.993 μB per formula unit.